(1)
Below is an optimized crystal structure of RbSnB, with properties calculated at the GGA-PBE level.

Lattice parameters (Å, degrees): 7.3825 7.2196 4.1800 77.96 98.32 114.71
Sites, in units of the cell vectors:
B 0.2002 0.2568 0.1741
B 0.3297 0.2109 0.4841
Rb 0.4813 0.6682 0.6869
Rb 0.8929 0.3423 0.5471
Sn 0.9982 0.9231 0.2606
Sn 0.4117 0.0888 0.0093

**Symmetry**: No. 1


(2)
Below is an optimized crystal structure of MnFeOs2, with properties calculated at the GGA-PBE level.

Lattice parameters (Å, degrees): 5.4574 5.4574 6.1666 63.74 63.74 90.00
Sites, in units of the cell vectors:
Mn 0.5000 0.5000 0.0000
Mn 0.2500 0.7500 0.5000
Os 0.8750 0.8775 0.7500
Os 0.6275 0.1250 0.2500
Os 0.1225 0.6250 0.2500
Os 0.3750 0.3725 0.7500
Fe 0.0000 0.0000 0.0000
Fe 0.7500 0.2500 0.5000

**Symmetry**: No. 122


no.,ΔH_f (0 K) (eV/atom),DFT total energy (eV per formula unit)
1,0.38,-10.5
2,1.33,-34.8